1 | A geometry-optimized BeAgSb2I structure, computed with PBE.

Cell: 5.3951 5.3951 5.6724 Å, 90.00 90.00 90.00°
Last column: nearest neighbours and their distance in Å.
Fractional positions:
Be (0.0000, 0.0000, 0.0000)  4 I 3.81, 8 Sb 3.91
Ag (0.5000, 0.5000, 0.5000)  4 Sb 2.70, 2 I 2.84
Sb (0.0000, 0.5000, 0.5000)  2 Ag 2.70
Sb (0.5000, 0.0000, 0.5000)  2 Ag 2.70
I (0.5000, 0.5000, 0.0000)  2 Ag 2.84

The value obtained for the total magnetization is 0.949 μB per formula unit.



2 | A geometry-optimized BeAgSb2I structure, computed with PBE.

Cell: 4.8662 4.8662 5.6079 Å, 90.00 90.00 90.00°
Last column: nearest neighbours and their distance in Å.
Fractional positions:
Be (0.0000, 0.0000, 0.0000)  4 Sb 2.43
Ag (0.5000, 0.5000, 0.5000)  4 I 3.44, 8 Sb 3.71
Sb (0.0000, 0.5000, 0.0000)  2 Be 2.43
Sb (0.5000, 0.0000, 0.0000)  2 Be 2.43
I (0.0000, 0.0000, 0.5000)  2 Be 2.80

The value obtained for the total magnetization is 0.000 μB per formula unit.



Q: Which of them is the most stable? A: 2.



1 | A geometry-optimized BeAgTeI2 structure, computed with PBE.

Cell: 5.5637 5.5637 5.6574 Å, 90.00 90.00 90.00°
Last column: nearest neighbours and their distance in Å.
Fractional positions:
Be (0.0000, 0.0000, 0.0000)  4 Te 3.93, 8 I 3.97
Ag (0.5000, 0.5000, 0.5000)  4 I 2.78, 2 Te 2.83
Te (0.5000, 0.5000, 0.0000)  2 Ag 2.83
I (0.0000, 0.5000, 0.5000)  2 Ag 2.78
I (0.5000, 0.0000, 0.5000)  2 Ag 2.78

The value obtained for the total magnetization is 0.000 μB per formula unit.



2 | A geometry-optimized BeAgTeI2 structure, computed with PBE.

Cell: 5.4264 5.4264 4.9453 Å, 90.00 90.00 90.00°
Last column: nearest neighbours and their distance in Å.
Fractional positions:
Be (0.0000, 0.0000, 0.0000)  2 Te 2.47, 4 I 2.71
Ag (0.5000, 0.5000, 0.5000)  8 I 3.67, 4 Te 3.84
Te (0.0000, 0.0000, 0.5000)  2 Be 2.47
I (0.0000, 0.5000, 0.0000)  2 Be 2.71
I (0.5000, 0.0000, 0.0000)  2 Be 2.71

The value obtained for the total magnetization is 0.000 μB per formula unit.



Q: Which of them is the most stable? A: 2.



1 | A geometry-optimized BeAgTe2I structure, computed with PBE.

Cell: 4.6939 4.6939 7.9225 Å, 90.00 90.00 90.00°
Last column: nearest neighbours and their distance in Å.
Fractional positions:
Be (0.0000, 0.0000, 0.0000)  4 Te 2.35
Ag (0.5000, 0.5000, 0.5000)  4 I 3.32
Te (0.0000, 0.5000, 0.0000)  2 Be 2.35
Te (0.5000, 0.0000, 0.0000)  2 Be 2.35
I (0.0000, 0.0000, 0.5000)  4 Ag 3.32

The value obtained for the total magnetization is 0.000 μB per formula unit.



2 | A geometry-optimized BeAgTe2I structure, computed with PBE.

Cell: 5.4890 5.4890 5.5452 Å, 90.00 90.00 90.00°
Last column: nearest neighbours and their distance in Å.
Fractional positions:
Be (0.0000, 0.0000, 0.0000)  4 I 3.88, 8 Te 3.90
Ag (0.5000, 0.5000, 0.5000)  4 Te 2.74, 2 I 2.77
Te (0.0000, 0.5000, 0.5000)  2 Ag 2.74
Te (0.5000, 0.0000, 0.5000)  2 Ag 2.74
I (0.5000, 0.5000, 0.0000)  2 Ag 2.77

The value obtained for the total magnetization is 0.000 μB per formula unit.



Q: Which of them is the most stable? A: 1.



1 | A geometry-optimized BeIn3Ag structure, computed with PBE.

Cell: 5.3318 5.3318 5.3318 Å, 90.00 90.00 90.00°
Last column: nearest neighbours and their distance in Å.
Fractional positions:
Be (0.0000, 0.0000, 0.0000)  12 In 3.77
In (0.0000, 0.5000, 0.5000)  2 Ag 2.67
In (0.5000, 0.0000, 0.5000)  2 Ag 2.67
In (0.5000, 0.5000, 0.0000)  2 Ag 2.67
Ag (0.5000, 0.5000, 0.5000)  6 In 2.67

The value obtained for the total magnetization is 0.000 μB per formula unit.



2 | A geometry-optimized BeIn3Ag structure, computed with PBE.

Cell: 4.9220 4.9220 4.9220 Å, 90.00 90.00 90.00°
Last column: nearest neighbours and their distance in Å.
Fractional positions:
Be (0.0000, 0.0000, 0.0000)  6 In 2.46
In (0.0000, 0.0000, 0.5000)  2 Be 2.46
In (0.0000, 0.5000, 0.0000)  2 Be 2.46
In (0.5000, 0.0000, 0.0000)  2 Be 2.46
Ag (0.5000, 0.5000, 0.5000)  12 In 3.48

The value obtained for the total magnetization is 0.000 μB per formula unit.



Q: Which of them is the most stable? A: 2.



1 | A geometry-optimized BeAg2Ir2 structure, computed with PBE.

Cell: 7.6461 7.6461 7.6461 Å, 153.54 153.54 37.77°
Last column: nearest neighbours and their distance in Å.
Fractional positions:
Be (0.0000, 0.0000, 0.0000)  8 Ag 2.80
Ag (0.4090, 0.4090, 0.0000)  1 Ag 2.63, 4 Be 2.80, 4 Ir 2.89
Ag (0.5910, 0.5910, 0.0000)  1 Ag 2.63, 4 Be 2.80, 4 Ir 2.89
Ir (0.2500, 0.7500, 0.5000)  4 Ir 2.47
Ir (0.7500, 0.2500, 0.5000)  4 Ir 2.47

The value obtained for the total magnetization is 0.000 μB per formula unit.



2 | A geometry-optimized BeAg2Ir2 structure, computed with PBE.

Cell: 5.8236 5.8236 4.4729 Å, 90.00 90.00 90.00°
Last column: nearest neighbours and their distance in Å.
Fractional positions:
Be (0.0000, 0.0000, 0.0000)  4 Ag 2.20
Be (0.5000, 0.5000, 0.0000)  4 Ag 2.20
Ag (0.1569, 0.3431, 0.0000)  2 Be 2.20
Ag (0.3431, 0.8431, 0.0000)  2 Be 2.20
Ag (0.6569, 0.1569, 0.0000)  2 Be 2.20
Ag (0.8431, 0.6569, 0.0000)  2 Be 2.20
Ir (0.1635, 0.6635, 0.5000)  6 Ag 2.68-2.91, 1 Ir 2.69
Ir (0.3365, 0.1635, 0.5000)  6 Ag 2.68-2.91, 1 Ir 2.69
Ir (0.6635, 0.8365, 0.5000)  6 Ag 2.68-2.91, 1 Ir 2.69
Ir (0.8365, 0.3365, 0.5000)  6 Ag 2.68-2.91, 1 Ir 2.69

The value obtained for the total magnetization is 0.000 μB per formula unit.



Q: Which of them is the most stable? A: 2.



1 | A geometry-optimized BeAgIr structure, computed with PBE.

Cell: 2.7739 2.7739 6.2052 Å, 90.00 90.00 120.00°
Last column: nearest neighbours and their distance in Å.
Fractional positions:
Be (0.0000, 0.0000, 0.0000)  3 Ir 2.31
Ag (0.3333, 0.6667, 0.6715)  3 Be 2.59, 6 Ag 2.77
Ir (0.6667, 0.3333, 0.2672)  3 Be 2.31

The value obtained for the total magnetization is 0.000 μB per formula unit.



2 | A geometry-optimized BeAgIr structure, computed with PBE.

Cell: 3.9268 3.9268 3.9268 Å, 60.00 60.00 60.00°
Last column: nearest neighbours and their distance in Å.
Fractional positions:
Be (0.0000, 0.0000, 0.0000)  4 Ir 2.40, 4 Ag 2.40
Ag (0.7500, 0.7500, 0.7500)  4 Be 2.40
Ir (0.2500, 0.2500, 0.2500)  4 Be 2.40

The value obtained for the total magnetization is 0.000 μB per formula unit.



3 | A geometry-optimized BeAgIr structure, computed with PBE.

Cell: 6.6728 6.4197 2.7280 Å, 83.23 72.82 23.95°
Last column: nearest neighbours and their distance in Å.
Fractional positions:
Be (0.0000, 0.0000, 0.0000)  2 Ir 2.22, 2 Ag 2.48
Ag (0.3380, 0.3380, 0.6620)  2 Be 2.48, 4 Ag 2.73
Ir (0.6351, 0.6351, 0.3649)  2 Be 2.22

The value obtained for the total magnetization is 0.000 μB per formula unit.



Q: Which of them is the most stable? A: 1.